This record from Alexandria via LeMat-Bulk describes CrPbW2O8 after structural relaxation. The functional is PBE+U.

Geometry as CIF:
```
data_CrPbW2O8
_cell_length_a 5.9023
_cell_length_b 5.9023
_cell_length_c 6.8481
_cell_angle_alpha 90.00
_cell_angle_beta 90.00
_cell_angle_gamma 120.00
_symmetry_space_group_name_H-M 'P -3 m 1'
_symmetry_Int_Tables_number 164
_symmetry_space_group_name_Hall '-P 3 2"'
loop_
_atom_site_label
_atom_site_type_symbol
_atom_site_fract_x
_atom_site_fract_y
_atom_site_fract_z
Cr1 Cr 0.0000 0.0000 0.0000
Pb1 Pb 0.0000 0.0000 0.5000
W1 W 0.3333 0.6667 0.2749
O1 O 0.1615 0.3230 0.1976
O2 O 0.3333 0.6667 0.5353
```

Values from the calculation:
The final energy comes out at -85.769 eV/f.u. As for the total magnetic moment: 4.00 μB/f.u.